Run a
CaMnSe2 | GGA-PBE | optimized geometry

```
data_CaMnSe2
_chemical_formula_sum 'Ca2 Mn2 Se4'
_cell_length_a 4.015
_cell_length_b 6.911
_cell_length_c 7.435
_cell_angle_alpha 90.00
_cell_angle_beta 90.00
_cell_angle_gamma 90.00
_symmetry_space_group_name_H-M 'C m m m'
_symmetry_Int_Tables_number 65
_symmetry_space_group_name_Hall '-C 2 2'
loop_
_atom_site_label
_atom_site_type_symbol
_atom_site_fract_x
_atom_site_fract_y
_atom_site_fract_z
Ca1 Ca 0.000 0.000 0.000
Mn1 Mn 0.000 0.000 0.500
Se1 Se 0.000 0.500 0.269
```

***

Run b
CaMnSe2 | GGA-PBE | optimized geometry

```
data_CaMnSe2
_chemical_formula_sum 'Ca3 Mn3 Se6'
_cell_length_a 4.4804
_cell_length_b 4.4804
_cell_length_c 23.0271
_cell_angle_alpha 90.00
_cell_angle_beta 90.00
_cell_angle_gamma 120.00
_symmetry_space_group_name_H-M 'R -3 m'
_symmetry_Int_Tables_number 166
_symmetry_space_group_name_Hall '-R 3 2"'
loop_
_atom_site_label
_atom_site_type_symbol
_atom_site_fract_x
_atom_site_fract_y
_atom_site_fract_z
Ca1 Ca 0.0000 0.0000 0.0000
Mn1 Mn 0.0000 0.0000 0.5000
Se1 Se 0.0000 0.0000 0.3983
```

***

How far above the most stable structure does each one sit? In meV per atom: run a 15; run b 0.

***

Run a
CaMnSe2 | GGA-PBE | optimized geometry

```
data_CaMnSe2
_chemical_formula_sum 'Ca3 Mn3 Se6'
_cell_length_a 3.9757
_cell_length_b 3.9757
_cell_length_c 20.4541
_cell_angle_alpha 90.00
_cell_angle_beta 90.00
_cell_angle_gamma 120.00
_symmetry_space_group_name_H-M 'R 3 m'
_symmetry_Int_Tables_number 160
_symmetry_space_group_name_Hall 'R 3 -2"'
loop_
_atom_site_label
_atom_site_type_symbol
_atom_site_fract_x
_atom_site_fract_y
_atom_site_fract_z
Ca1 Ca 0.0000 0.0000 0.0000
Mn1 Mn 0.0000 0.0000 0.1687
Se1 Se 0.0000 0.0000 0.5745
Se2 Se 0.0000 0.0000 0.7602
```

***

Run b
CaMnSe2 | GGA-PBE | optimized geometry

```
data_CaMnSe2
_chemical_formula_sum 'Ca1 Mn1 Se2'
_cell_length_a 4.046
_cell_length_b 4.046
_cell_length_c 5.797
_cell_angle_alpha 90.00
_cell_angle_beta 90.00
_cell_angle_gamma 90.00
_symmetry_space_group_name_H-M 'P 4 m m'
_symmetry_Int_Tables_number 99
_symmetry_space_group_name_Hall 'P 4 -2'
loop_
_atom_site_label
_atom_site_type_symbol
_atom_site_fract_x
_atom_site_fract_y
_atom_site_fract_z
Ca1 Ca 0.000 0.000 0.000
Mn1 Mn 0.500 0.500 0.529
Se1 Se 0.000 0.000 0.498
Se2 Se 0.500 0.500 0.990
```

***

How far above the most stable structure does each one sit? In meV per atom: run a 13; run b 0.

***

Run a
Ca3MnSe | GGA-PBE | optimized geometry

```
data_Ca3MnSe
_chemical_formula_sum 'Ca3 Mn1 Se1'
_cell_length_a 5.332
_cell_length_b 5.332
_cell_length_c 5.332
_cell_angle_alpha 90.00
_cell_angle_beta 90.00
_cell_angle_gamma 90.00
_symmetry_space_group_name_H-M 'P m -3 m'
_symmetry_Int_Tables_number 221
_symmetry_space_group_name_Hall '-P 4 2 3'
loop_
_atom_site_label
_atom_site_type_symbol
_atom_site_fract_x
_atom_site_fract_y
_atom_site_fract_z
Ca1 Ca 0.000 0.000 0.500
Mn1 Mn 0.000 0.000 0.000
Se1 Se 0.500 0.500 0.500
```

***

Run b
Ca3MnSe | GGA-PBE | optimized geometry

```
data_Ca3MnSe
_chemical_formula_sum 'Ca3 Mn1 Se1'
_cell_length_a 5.567
_cell_length_b 5.567
_cell_length_c 5.567
_cell_angle_alpha 90.00
_cell_angle_beta 90.00
_cell_angle_gamma 90.00
_symmetry_space_group_name_H-M 'P m -3 m'
_symmetry_Int_Tables_number 221
_symmetry_space_group_name_Hall '-P 4 2 3'
loop_
_atom_site_label
_atom_site_type_symbol
_atom_site_fract_x
_atom_site_fract_y
_atom_site_fract_z
Ca1 Ca 0.000 0.000 0.500
Mn1 Mn 0.500 0.500 0.500
Se1 Se 0.000 0.000 0.000
```

***

How far above the most stable structure does each one sit? In meV per atom: run a 432; run b 0.

***

Run a
CaMnSe3 | GGA-PBE | optimized geometry

```
data_CaMnSe3
_chemical_formula_sum 'Ca1 Mn1 Se3'
_cell_length_a 4.917
_cell_length_b 4.917
_cell_length_c 4.917
_cell_angle_alpha 90.00
_cell_angle_beta 90.00
_cell_angle_gamma 90.00
_symmetry_space_group_name_H-M 'P m -3 m'
_symmetry_Int_Tables_number 221
_symmetry_space_group_name_Hall '-P 4 2 3'
loop_
_atom_site_label
_atom_site_type_symbol
_atom_site_fract_x
_atom_site_fract_y
_atom_site_fract_z
Ca1 Ca 0.000 0.000 0.000
Mn1 Mn 0.500 0.500 0.500
Se1 Se 0.000 0.500 0.500
```

***

Run b
CaMnSe3 | GGA-PBE | optimized geometry

```
data_CaMnSe3
_chemical_formula_sum 'Ca1 Mn1 Se3'
_cell_length_a 5.393
_cell_length_b 5.393
_cell_length_c 5.393
_cell_angle_alpha 90.00
_cell_angle_beta 90.00
_cell_angle_gamma 90.00
_symmetry_space_group_name_H-M 'P m -3 m'
_symmetry_Int_Tables_number 221
_symmetry_space_group_name_Hall '-P 4 2 3'
loop_
_atom_site_label
_atom_site_type_symbol
_atom_site_fract_x
_atom_site_fract_y
_atom_site_fract_z
Ca1 Ca 0.000 0.000 0.000
Mn1 Mn 0.500 0.500 0.500
Se1 Se 0.000 0.000 0.500
```

***

How far above the most stable structure does each one sit? In meV per atom: run a 0; run b 963.

***

Run a
Ca3MnSi | GGA-PBE | optimized geometry

```
data_Ca3MnSi
_chemical_formula_sum 'Ca3 Mn1 Si1'
_cell_length_a 5.329
_cell_length_b 5.329
_cell_length_c 5.329
_cell_angle_alpha 90.00
_cell_angle_beta 90.00
_cell_angle_gamma 90.00
_symmetry_space_group_name_H-M 'P m -3 m'
_symmetry_Int_Tables_number 221
_symmetry_space_group_name_Hall '-P 4 2 3'
loop_
_atom_site_label
_atom_site_type_symbol
_atom_site_fract_x
_atom_site_fract_y
_atom_site_fract_z
Ca1 Ca 0.000 0.000 0.500
Mn1 Mn 0.000 0.000 0.000
Si1 Si 0.500 0.500 0.500
```

***

Run b
Ca3MnSi | GGA-PBE | optimized geometry

```
data_Ca3MnSi
_chemical_formula_sum 'Ca3 Mn1 Si1'
_cell_length_a 5.642
_cell_length_b 5.642
_cell_length_c 5.642
_cell_angle_alpha 90.00
_cell_angle_beta 90.00
_cell_angle_gamma 90.00
_symmetry_space_group_name_H-M 'P m -3 m'
_symmetry_Int_Tables_number 221
_symmetry_space_group_name_Hall '-P 4 2 3'
loop_
_atom_site_label
_atom_site_type_symbol
_atom_site_fract_x
_atom_site_fract_y
_atom_site_fract_z
Ca1 Ca 0.000 0.000 0.500
Mn1 Mn 0.500 0.500 0.500
Si1 Si 0.000 0.000 0.000
```

***

How far above the most stable structure does each one sit? In meV per atom: run a 336; run b 0.

***

Run a
CaMn2Sn2 | GGA-PBE | optimized geometry

```
data_CaMn2Sn2
_chemical_formula_sum 'Ca2 Mn4 Sn4'
_cell_length_a 4.392
_cell_length_b 4.392
_cell_length_c 11.889
_cell_angle_alpha 90.00
_cell_angle_beta 90.00
_cell_angle_gamma 90.00
_symmetry_space_group_name_H-M 'I 4/m m m'
_symmetry_Int_Tables_number 139
_symmetry_space_group_name_Hall '-I 4 2'
loop_
_atom_site_label
_atom_site_type_symbol
_atom_site_fract_x
_atom_site_fract_y
_atom_site_fract_z
Ca1 Ca 0.000 0.000 0.000
Mn1 Mn 0.000 0.500 0.250
Sn1 Sn 0.000 0.000 0.377
```

***

Run b
CaMn2Sn2 | GGA-PBE | optimized geometry

```
data_CaMn2Sn2
_chemical_formula_sum 'Ca2 Mn4 Sn4'
_cell_length_a 8.072
_cell_length_b 8.072
_cell_length_c 3.191
_cell_angle_alpha 90.00
_cell_angle_beta 90.00
_cell_angle_gamma 90.00
_symmetry_space_group_name_H-M 'P 4/m b m'
_symmetry_Int_Tables_number 127
_symmetry_space_group_name_Hall '-P 4 2ab'
loop_
_atom_site_label
_atom_site_type_symbol
_atom_site_fract_x
_atom_site_fract_y
_atom_site_fract_z
Ca1 Ca 0.000 0.000 0.000
Mn1 Mn 0.115 0.385 0.000
Sn1 Sn 0.173 0.673 0.500
```

***

How far above the most stable structure does each one sit? In meV per atom: run a 0; run b 83.